[1]
Dy6P3SeS2 after structural relaxation. Source: the Alexandria database, functional PBE.

Geometry as POSCAR:
```
Dy6P3SeS2
1.0
3.982 0.000 0.000
0.000 7.995 0.257
-1.991 -2.333 8.396
Dy P Se S
6 3 1 2
Direct
0.328 0.921 0.657
0.665 0.588 0.330
0.672 0.079 0.343
0.998 0.263 0.997
0.002 0.737 0.003
0.335 0.412 0.670
0.500 0.500 0.000
0.834 0.168 0.668
0.166 0.832 0.332
0.500 0.000 0.000
0.833 0.667 0.666
0.167 0.333 0.334
```

Computed properties:
E_form (uncorrected) = -1.839 eV per atom
Magnetic moment = 0.0 μB per formula unit

***

[2]
SmDyPS after structural relaxation. Source: the Alexandria database, functional PBE.

Geometry as POSCAR:
```
SmDyPS
1.0
-2.095 -3.006 -1.621
1.791 -3.499 -0.778
-1.678 -4.314 5.219
Sm Dy P S
1 1 1 1
Direct
0.947 0.947 0.159
0.441 0.441 0.676
0.697 0.697 0.910
0.192 0.192 0.425
```

Computed properties:
E_form (uncorrected) = -1.866 eV per atom
Magnetic moment = 0.0 μB per formula unit

***

[3]
Dy6SnP2S3 after structural relaxation. Source: the Alexandria database, functional PBE.

Geometry as POSCAR:
```
Dy6SnP2S3
1.0
4.002 0.000 0.000
0.000 8.115 0.324
-2.001 -2.305 8.482
Dy Sn P S
6 1 2 3
Direct
0.327 0.904 0.654
0.670 0.578 0.341
0.673 0.096 0.346
0.003 0.269 0.005
0.997 0.731 0.995
0.330 0.422 0.659
0.500 0.000 0.000
0.832 0.664 0.664
0.168 0.336 0.336
0.500 0.500 0.000
0.834 0.168 0.668
0.166 0.832 0.332
```

Computed properties:
E_form (uncorrected) = -1.649 eV per atom
Magnetic moment = 0.0 μB per formula unit

***

[4]
SrDyP2S8 after structural relaxation. Source: the Alexandria database, functional PBE.

Geometry as POSCAR:
```
SrDyP2S8
1.0
-0.444 5.369 2.675
-4.973 -3.034 -1.498
0.021 -4.081 8.195
Sr Dy P S
1 1 2 8
Direct
0.000 0.000 0.000
0.000 0.000 0.500
0.667 0.333 0.241
0.333 0.667 0.759
0.333 0.667 0.982
0.343 0.343 0.302
0.657 0.000 0.302
0.667 0.333 0.018
0.343 0.000 0.698
0.657 0.657 0.698
0.000 0.343 0.698
0.000 0.657 0.302
```

Computed properties:
E_form (uncorrected) = -0.802 eV per atom
Magnetic moment = 0.1 μB per formula unit

***

[5]
Dy4TePS2 after structural relaxation. Source: the Alexandria database, functional PBE.

Geometry as POSCAR:
```
Dy4TePS2
1.0
4.014 0.000 0.000
0.000 6.949 -0.133
0.000 2.455 6.706
Dy Te P S
4 1 1 2
Direct
0.000 0.773 0.715
0.000 0.227 0.285
0.500 0.754 0.272
0.500 0.246 0.728
0.500 0.500 0.000
0.000 0.500 0.500
0.000 0.000 0.000
0.500 0.000 0.500
```

Computed properties:
E_form (uncorrected) = -1.732 eV per atom
Magnetic moment = 0.0 μB per formula unit

***

[6]
Dy6Te3PS2 after structural relaxation. Source: the Alexandria database, functional PBE.

Geometry as POSCAR:
```
Dy6Te3PS2
1.0
-1.246 5.718 -3.968
1.579 -6.164 -3.082
-6.922 -1.486 2.135
Dy Te P S
6 3 1 2
Direct
0.932 0.602 0.795
0.739 0.739 0.205
0.068 0.398 0.205
0.602 0.932 0.795
0.261 0.261 0.795
0.398 0.068 0.205
0.167 0.833 0.500
0.833 0.167 0.500
0.500 0.500 0.500
0.000 0.000 0.000
0.333 0.667 0.000
0.667 0.333 0.000
```

Computed properties:
E_form (uncorrected) = -1.635 eV per atom
Magnetic moment = 0.0 μB per formula unit

***

- Look up the magnetic moment of the first one.
  0.0 μB per formula unit

***

- Look up the magnetic moment of the first one.
  0.0 μB per formula unit

***

- Which of these has the lowest E_form (uncorrected)?
  SmDyPS

***

Repeat the fifth record exactly.
Dy4TePS2 after structural relaxation. Source: the Alexandria database, functional PBE.

Geometry as POSCAR:
```
Dy4TePS2
1.0
4.014 0.000 0.000
0.000 6.949 -0.133
0.000 2.455 6.706
Dy Te P S
4 1 1 2
Direct
0.000 0.773 0.715
0.000 0.227 0.285
0.500 0.754 0.272
0.500 0.246 0.728
0.500 0.500 0.000
0.000 0.500 0.500
0.000 0.000 0.000
0.500 0.000 0.500
```

Computed properties:
E_form (uncorrected) = -1.732 eV per atom
Magnetic moment = 0.0 μB per formula unit